No. 1
Material: Tb8CoSb2
Method: DFT, PBE
State: optimized geometry

ΔE_f (raw) ... -0.412 eV/atom
N(E_F) ... 1.075 states/eV per atom
V ... 28.4 A^3/atom
Space-group type ... C2/m, No. 12
Density ... 8.4 g cm⁻³

Cell lengths 4.573, 7.330, 9.665 Å; angles 97.17, 103.68, 90.00 degrees
Atoms (fractional coordinates):
Tb  0.998  0.218  0.995
Tb  0.785  0.654  0.570
Tb  0.362  0.966  0.724
Tb  0.002  0.782  0.005
Tb  0.638  0.034  0.276
Tb  0.215  0.346  0.430
Tb  0.405  0.483  0.810
Tb  0.595  0.517  0.190
Sb  0.182  0.773  0.364
Sb  0.818  0.227  0.636
Co  0.500  0.000  0.000


No. 2
Material: MnHg2Ir
Method: DFT, PBE
State: optimized geometry

Distance to the lowest polymorph of the same formula ... 0.2020 eV per atom
N(E_F) ... 0.537 states/eV per atom
V ... 17.8 A^3/atom
Space-group type ... Cmmm, No. 65
Density ... 15.1 g cm⁻³

Cell lengths 4.891, 4.891, 3.115 Å; angles 90.00, 90.00, 107.32 degrees
Each line ends with the local moment (μB).
Atoms (fractional coordinates):
Ir  0.500  0.000  0.500  0.22
Hg  0.500  0.500  0.000  -0.02
Hg  0.000  0.000  0.000  -0.02
Mn  0.000  0.500  0.500  3.80


No. 3
Material: CaTlSbF6
Method: DFT, PBE
State: optimized geometry

ΔE_f (raw) ... -2.729 eV/atom
N(E_F) ... 0.000 states/eV per atom
V ... 19.5 A^3/atom
Space-group type ... P1, No. 1
Density ... 4.5 g cm⁻³

Cell lengths 6.266, 6.263, 5.165 Å; angles 90.10, 89.95, 59.87 degrees
Atoms (fractional coordinates):
F  0.965  0.684  0.694
F  0.381  0.564  0.295
F  0.056  0.381  0.295
F  0.565  0.054  0.295
F  0.684  0.350  0.694
F  0.348  0.967  0.692
Sb  0.333  0.333  0.552
Tl  0.000  0.000  0.010
Ca  0.667  0.666  0.473


No. 4
Material: YAlAsBr2
Method: DFT, PBE
State: optimized geometry

Distance to the lowest polymorph of the same formula ... 0.0760 eV per atom
ΔE_f (raw) ... -0.414 eV/atom
N(E_F) ... 0.364 states/eV per atom
V ... 25.6 A^3/atom
Space-group type ... P4/mmm, No. 123
Density ... 4.6 g cm⁻³

Cell lengths 4.964, 4.964, 5.186 Å; angles 90.00, 90.00, 90.00 degrees
Each line ends with the local moment (μB).
Atoms (fractional coordinates):
As  0.000  0.000  0.500  -0.01
Br  0.500  0.000  0.000  0.00
Br  0.000  0.500  0.000  0.00
Al  0.000  0.000  0.000  0.00
Y  0.500  0.500  0.500  0.15


No. 5
Material: Ca2ThPaSb4
Method: DFT, PBE
State: optimized geometry

ΔE_f (raw) ... -0.853 eV/atom
N(E_F) ... 0.764 states/eV per atom
V ... 32.1 A^3/atom
Space-group type ... P2/m, No. 10
Density ... 6.7 g cm⁻³

Cell lengths 4.496, 7.792, 7.772 Å; angles 109.46, 90.00, 90.00 degrees
Each line ends with the local moment (μB).
Atoms (fractional coordinates):
Ca  0.500  0.000  0.500  0.00
Ca  0.000  0.500  0.500  0.00
Pa  0.000  0.000  0.000  0.63
Sb  0.000  0.245  0.757  -0.01
Sb  0.500  0.240  0.239  -0.02
Sb  0.500  0.760  0.761  -0.02
Sb  0.000  0.755  0.243  -0.01
Th  0.500  0.500  0.000  0.02


No. 6
Material: Ta2GaTc
Method: DFT, PBE
State: optimized geometry

Calculated total energy ... -8.813 eV per atom
N(E_F) ... 0.735 states/eV per atom
V ... 18.2 A^3/atom
Space-group type ... I-42d, No. 122
Density ... 12.1 g cm⁻³

Cell lengths 7.292, 7.292, 5.836 Å; angles 51.34, 51.34, 90.00 degrees
Atoms (fractional coordinates):
Ga  0.250  0.750  0.500
Ga  0.500  0.500  0.000
Tc  0.750  0.250  0.500
Tc  0.000  0.000  0.000
Ta  0.375  0.346  0.750
Ta  0.875  0.904  0.750
Ta  0.654  0.125  0.250
Ta  0.096  0.625  0.250


No. 7
Material: Pr4GaCu2
Method: DFT, PBE
State: optimized geometry

Distance to the lowest polymorph of the same formula ... 0.0000 eV per atom
N(E_F) ... 1.358 states/eV per atom
V ... 26.9 A^3/atom
Space-group type ... R-3m, No. 166
Density ... 6.7 g cm⁻³

Cell lengths 5.136, 5.136, 8.764 Å; angles 72.96, 72.96, 60.00 degrees
Each line ends with the local moment (μB).
Atoms (fractional coordinates):
Pr  0.128  0.128  0.617  0.14
Pr  0.619  0.619  0.143  0.06
Pr  0.872  0.872  0.383  0.14
Pr  0.381  0.381  0.857  0.06
Ga  0.000  0.000  0.000  -0.01
Cu  0.745  0.745  0.766  0.02
Cu  0.255  0.255  0.234  0.02


No. 8
Material: Be2SbPt2
Method: DFT, PBE
State: optimized geometry

Distance to the lowest polymorph of the same formula ... 0.0000 eV per atom
ΔE_f (raw) ... -0.414 eV/atom
N(E_F) ... 0.261 states/eV per atom
V ... 15.0 A^3/atom
Space-group type ... I4/mmm, No. 139
Density ... 11.7 g cm⁻³

Cell lengths 3.450, 3.450, 6.761 Å; angles 75.22, 75.22, 90.00 degrees
Atoms (fractional coordinates):
Sb  0.000  0.000  0.000
Be  0.250  0.750  0.500
Be  0.750  0.250  0.500
Pt  0.624  0.624  0.752
Pt  0.376  0.376  0.248


No. 9
Material: AcNd2YTm
Method: DFT, PBE
State: optimized geometry

Calculated total energy ... -4.554 eV per atom
N(E_F) ... 1.400 states/eV per atom
V ... 38.1 A^3/atom
Space-group type ... Cmcm, No. 63
Density ... 6.7 g cm⁻³

Cell lengths 7.388, 8.501, 7.409 Å; angles 125.01, 90.00, 90.00 degrees
Atoms (fractional coordinates):
Nd  0.000  0.306  0.000
Nd  0.500  0.694  0.000
Nd  0.500  0.306  0.000
Nd  0.000  0.694  0.000
Y  0.750  0.955  0.910
Y  0.250  0.045  0.090
Ac  0.250  0.754  0.508
Ac  0.750  0.246  0.492
Tm  0.250  0.304  0.608
Tm  0.750  0.696  0.392


No. 10
Material: Ac2LaSmY2
Method: DFT, PBE
State: optimized geometry

Calculated total energy ... -5.088 eV per atom
N(E_F) ... 1.581 states/eV per atom
V ... 37.4 A^3/atom
Space-group type ... Pmc2_1, No. 26
Density ... 6.8 g cm⁻³

Cell lengths 5.329, 7.467, 11.280 Å; angles 90.00, 90.00, 90.00 degrees
Atoms (fractional coordinates):
Y  0.000  0.380  0.823
Y  0.500  0.632  0.662
Y  0.000  0.880  0.177
Y  0.500  0.132  0.338
Sm  0.000  0.388  0.504
Sm  0.000  0.888  0.496
La  0.500  0.635  0.341
La  0.500  0.135  0.659
Ac  0.500  0.628  0.999
Ac  0.000  0.882  0.825
Ac  0.000  0.382  0.175
Ac  0.500  0.128  0.001


No. 11
Material: LaAgN3
Method: DFT, PBE
State: optimized geometry

ΔE_f (raw) ... 0.918 eV/atom
N(E_F) ... 0.847 states/eV per atom
V ... 13.7 A^3/atom
Space-group type ... Pm-3m, No. 221
Density ... 7.0 g cm⁻³

Cell lengths 4.092, 4.092, 4.092 Å; angles 90.00, 90.00, 90.00 degrees
Atoms (fractional coordinates):
N  0.000  0.500  0.000
N  0.500  0.000  0.000
N  0.000  0.000  0.500
Ag  0.000  0.000  0.000
La  0.500  0.500  0.500


No. 12
Material: PmSc2Tl3Se6
Method: DFT, PBE
State: optimized geometry

ΔE_f (raw) ... -1.290 eV/atom
V ... 28.0 A^3/atom
Space-group type ... C2/m, No. 12
Density ... 6.5 g cm⁻³

Cell lengths 7.075, 7.075, 8.089 Å; angles 98.40, 98.40, 119.91 degrees
Atoms (fractional coordinates):
Tl  0.500  0.500  0.500
Tl  0.161  0.839  0.500
Tl  0.839  0.161  0.500
Se  0.420  0.067  0.201
Se  0.933  0.580  0.799
Se  0.287  0.287  0.804
Se  0.580  0.933  0.799
Se  0.067  0.420  0.201
Se  0.713  0.713  0.196
Pm  0.000  0.000  0.000
Sc  0.333  0.667  0.000
Sc  0.667  0.333  0.000